Entry 1:
5
Lattice="5.0979 0.0000 0.0000 0.0000 5.0979 0.0000 0.0000 0.0000 5.0979" Properties=species:S:1:pos:R:3 comment="OsPbBr3 PBE-GGA relaxed" space_group="No. 221" relative_energy_mev_per_atom=0 e_form_raw_ev_per_atom=0.39 magmom_total_mub_per_fu=0.01 vol_a3_per_cell=132.5 pbc="T T T"
Os 0.0000 0.0000 0.0000
Pb 2.5489 2.5489 2.5489
Br 0.0000 0.0000 2.5489
Br 0.0000 2.5489 0.0000
Br 2.5489 0.0000 0.0000

---

Entry 2:
4
Lattice="1.6258 0.9387 10.4191 -1.6258 0.9387 10.4191 0.0000 -1.8774 10.4191" Properties=species:S:1:pos:R:3 comment="OsPbBr2 PBE-GGA relaxed" space_group="No. 166" relative_energy_mev_per_atom=355 e_form_raw_ev_per_atom=0.63 magmom_total_mub_per_fu=0.00 vol_a3_per_cell=95.4 pbc="T T T"
Os 0.0000 0.0000 0.0000
Pb 0.0000 0.0000 15.6286
Br 0.0000 0.0000 2.3717
Br 0.0000 0.0000 28.8855

---

Entry 3:
4
Lattice="3.2359 0.0000 0.0000 0.0000 3.2359 0.0000 0.0000 0.0000 9.0777" Properties=species:S:1:pos:R:3 comment="OsPbBr2 PBE-GGA relaxed" space_group="No. 123" relative_energy_mev_per_atom=682 e_form_raw_ev_per_atom=0.95 magmom_total_mub_per_fu=0.00 vol_a3_per_cell=95.1 pbc="T T T"
Os 0.0000 0.0000 0.0000
Pb 0.0000 0.0000 4.5388
Br 1.6179 1.6179 1.5873
Br 1.6179 1.6179 7.4903

---

Entry 4:
4
Lattice="1.8622 1.0752 10.0428 -1.8622 1.0752 10.0428 0.0000 -2.1503 10.0428" Properties=species:S:1:pos:R:3 comment="OsPbBr2 PBE-GGA relaxed" space_group="No. 166" relative_energy_mev_per_atom=215 e_form_raw_ev_per_atom=0.49 magmom_total_mub_per_fu=0.00 vol_a3_per_cell=120.6 pbc="T T T"
Os 0.0000 0.0000 0.0000
Pb 0.0000 0.0000 15.0642
Br 0.0000 0.0000 11.3674
Br 0.0000 0.0000 18.7611

---

Entry 5:
4
Lattice="-2.1074 2.1074 5.5697 2.1074 -2.1074 5.5697 2.1074 2.1074 -5.5697" Properties=species:S:1:pos:R:3 comment="OsPbBr2 PBE-GGA relaxed" space_group="No. 119" relative_energy_mev_per_atom=783 e_form_raw_ev_per_atom=1.05 magmom_total_mub_per_fu=2.26 vol_a3_per_cell=98.9 pbc="T T T"
Os 0.0000 0.0000 0.0000
Pb 2.1074 0.0000 2.7848
Br 0.0000 0.0000 5.5697
Br 0.0000 2.1074 2.7848

---

Entry 6:
4
Lattice="4.9542 0.0000 0.0000 0.0000 3.3514 0.0000 -2.2730 0.0000 5.4721" Properties=species:S:1:pos:R:3 comment="OsPbBr2 PBE-GGA relaxed" space_group="No. 10" relative_energy_mev_per_atom=625 e_form_raw_ev_per_atom=0.90 magmom_total_mub_per_fu=0.55 vol_a3_per_cell=90.9 pbc="T T T"
Os 0.0000 0.0000 0.0000
Pb -1.1365 1.6757 2.7361
Br 1.3406 0.0000 2.7361
Br 2.4771 1.6757 0.0000